{"formula": "Tb6Nd8Cd", "functional": "PBE-GGA", "state": "relaxed", "total_magnetization_mub_per_fu": 0.00, "energy_ev_per_cell": -65.4, "e_form_ev_per_atom": 0.09, "lattice": [[6.4915, 0.0000, 0.0000], [0.0000, 8.1881, -4.7274], [0.0000, 0.0000, 9.4548]], "species": ["Nd", "Nd", "Nd", "Nd", "Nd", "Nd", "Nd", "Nd", "Tb", "Tb", "Tb", "Tb", "Tb", "Tb", "Cd"], "fractional_positions": [[0.8167, 0.2293, 0.9585], [0.8167, 0.7292, 0.7707], [0.1833, 0.9586, 0.7292], [0.8167, 0.0415, 0.2708], [0.1521, 0.6667, 0.3333], [0.1833, 0.7706, 0.0414], [0.1833, 0.2708, 0.2294], [0.8479, 0.3333, 0.6667], [0.6717, 0.9037, 0.5493], [0.3284, 0.0964, 0.4507], [0.6717, 0.4507, 0.3544], [0.6717, 0.6456, 0.0963], [0.3284, 0.3543, 0.9036], [0.3284, 0.5493, 0.6457], [0.5000, 0.0000, 0.0000]]}

***

{"formula": "TbNd2Cd6", "functional": "PBE-GGA", "state": "relaxed", "total_magnetization_mub_per_fu": 0.33, "energy_ev_per_cell": -22.7, "e_form_ev_per_atom": -0.34, "lattice": [[-2.2385, -1.5292, 2.1260], [-4.7342, -2.6441, -6.8863], [6.4273, -5.0829, 3.1112]], "species": ["Nd", "Nd", "Cd", "Cd", "Cd", "Cd", "Cd", "Cd", "Tb"], "fractional_positions": [[0.0000, 0.6667, 0.3333], [0.0000, 0.3333, 0.6667], [0.5000, 0.6693, 0.0000], [0.5000, 0.0000, 0.3307], [0.5000, 0.0000, 0.6693], [0.5000, 0.6693, 0.6693], [0.5000, 0.3307, 0.0000], [0.5000, 0.3307, 0.3307], [0.0000, 0.0000, 0.0000]]}

***

{"formula": "Tb2NdCd4", "functional": "PBE-GGA", "state": "relaxed", "total_magnetization_mub_per_fu": 0.24, "energy_ev_per_cell": -18.7, "e_form_ev_per_atom": -0.15, "lattice": [[5.1162, 0.0000, -1.6309], [-0.5199, 5.0897, -1.6309], [-0.2651, -0.2936, 8.0086]], "species": ["Tb", "Tb", "Cd", "Cd", "Cd", "Cd", "Nd"], "fractional_positions": [[0.2593, 0.2593, 0.5186], [0.7407, 0.7407, 0.4814], [0.6187, 0.1187, 0.2374], [0.1187, 0.6187, 0.2374], [0.8813, 0.3813, 0.7626], [0.3813, 0.8813, 0.7626], [0.0000, 0.0000, 0.0000]]}

***

{"formula": "Tb5NdCd4", "functional": "PBE-GGA", "state": "relaxed", "total_magnetization_mub_per_fu": 0.01, "energy_ev_per_cell": -34.0, "e_form_ev_per_atom": -0.24, "lattice": [[3.7182, 0.0000, 0.0000], [0.0000, 3.7182, 0.0000], [0.0000, 0.0000, 20.2995]], "species": ["Tb", "Tb", "Tb", "Tb", "Tb", "Cd", "Cd", "Cd", "Cd", "Nd"], "fractional_positions": [[0.5000, 0.5000, 0.1234], [0.5000, 0.5000, 0.3126], [0.5000, 0.5000, 0.8766], [0.5000, 0.5000, 0.5000], [0.5000, 0.5000, 0.6874], [0.0000, 0.0000, 0.2176], [0.0000, 0.0000, 0.7824], [0.0000, 0.0000, 0.5945], [0.0000, 0.0000, 0.4055], [0.0000, 0.0000, 0.0000]]}